TlNi2W | GGA-PBE | relaxed

E above lowest polymorph, eV/atom: 0.1350
Magnetization, μB per cell: 0.000
Formation energy, eV per atom: 0.427
Symmetry: P4mm (99)
Total DFT energy (no corrections), Ry per atom: -0.463
N(E_F), states/eV/f.u.: 3.74

```
TlNi2W
1.0
-2.938 0.414 0.632
0.024 -2.486 1.739
1.639 3.668 5.219
Tl Ni W
1 2 1
direct
0.000 0.000 0.473 Tl
0.500 0.500 0.206 Ni
0.000 0.000 0.013 Ni
0.500 0.500 0.809 W
```

***

TlNi2W | GGA-PBE | relaxed

E above lowest polymorph, eV/atom: 0.0219
Magnetization, μB per cell: 0.000
Formation energy, eV per atom: 0.314
Symmetry: P2/m (10)
Total DFT energy (no corrections), Ry per atom: -0.471
N(E_F), states/eV/f.u.: 3.33

```
TlNi2W
1.0
-2.044 -2.807 0.387
0.404 -0.677 -2.780
5.247 -4.000 -1.297
Ni W Tl
2 1 1
direct
0.000 0.039 0.959 Ni
0.000 0.461 0.541 Ni
0.500 0.750 0.750 W
0.500 0.250 0.250 Tl
```

***

TlNi2W | GGA-PBE | relaxed

E above lowest polymorph, eV/atom: 0.2052
Magnetization, μB per cell: 0.000
Formation energy, eV per atom: 0.497
Symmetry: Fm-3m (225)
Total DFT energy (no corrections), Ry per atom: -0.457
N(E_F), states/eV/f.u.: 3.50

```
TlNi2W
1.0
0.000 3.090 3.090
3.090 0.000 3.090
3.090 3.090 0.000
Ni W Tl
2 1 1
direct
0.250 0.250 0.250 Ni
0.750 0.750 0.750 Ni
0.000 0.000 0.000 W
0.500 0.500 0.500 Tl
```

***

TlNi2W | GGA-PBE | relaxed

E above lowest polymorph, eV/atom: 0.1548
Magnetization, μB per cell: 0.000
Formation energy, eV per atom: 0.446
Symmetry: C2/m (12)
Total DFT energy (no corrections), Ry per atom: -0.461
N(E_F), states/eV/f.u.: 2.92

```
TlNi2W
1.0
-2.858 -2.165 2.639
-3.524 -2.718 -0.095
2.622 -4.531 0.278
W Ni Tl
1 2 1
direct
0.750 0.750 0.750 W
0.007 0.007 0.946 Ni
0.493 0.493 0.554 Ni
0.250 0.250 0.250 Tl
```